[1]
# InBi2Os | Alexandria via LeMat-Bulk | PBE | relaxed
# E (eV for the cell shown): -74.8
# Formation energy from the elements (eV/atom): 0.758
# Crystal system: tetragonal
data_InBi2Os
_cell_length_a 6.659
_cell_length_b 6.659
_cell_length_c 12.782
_cell_angle_alpha 90.00
_cell_angle_beta 90.00
_cell_angle_gamma 90.00
_symmetry_space_group_name_H-M 'I -4 2 d'
_symmetry_Int_Tables_number 122
_symmetry_space_group_name_Hall 'I -4 2bw'
loop_
_atom_site_label
_atom_site_fract_x
_atom_site_fract_y
_atom_site_fract_z
In1 0.000 0.000 0.000
Bi1 0.192 0.250 0.625
Os1 0.000 0.000 0.500



[2]
# InBiP2Os | Alexandria via LeMat-Bulk | PBE | relaxed
# E (eV for the cell shown): -20.3
# Formation energy from the elements (eV/atom): 1.664
# Crystal system: tetragonal
data_InBiP2Os
_cell_length_a 4.937
_cell_length_b 4.937
_cell_length_c 5.038
_cell_angle_alpha 90.00
_cell_angle_beta 90.00
_cell_angle_gamma 90.00
_symmetry_space_group_name_H-M 'P 4/m m m'
_symmetry_Int_Tables_number 123
_symmetry_space_group_name_Hall '-P 4 2'
loop_
_atom_site_label
_atom_site_fract_x
_atom_site_fract_y
_atom_site_fract_z
In1 0.000 0.000 0.000
Bi1 0.500 0.500 0.500
P1 0.000 0.500 0.000
Os1 0.000 0.000 0.500



[3]
# InBiOsPt2 | Alexandria via LeMat-Bulk | PBE | relaxed
# E (eV for the cell shown): -22.4
# Formation energy from the elements (eV/atom): 1.500
# Crystal system: tetragonal
data_InBiOsPt2
_cell_length_a 5.080
_cell_length_b 5.080
_cell_length_c 5.148
_cell_angle_alpha 90.00
_cell_angle_beta 90.00
_cell_angle_gamma 90.00
_symmetry_space_group_name_H-M 'P 4/m m m'
_symmetry_Int_Tables_number 123
_symmetry_space_group_name_Hall '-P 4 2'
loop_
_atom_site_label
_atom_site_fract_x
_atom_site_fract_y
_atom_site_fract_z
In1 0.000 0.000 0.000
Bi1 0.500 0.500 0.500
Os1 0.500 0.500 0.000
Pt1 0.000 0.500 0.500



[4]
# InBiOsS2 | Alexandria via LeMat-Bulk | PBE | relaxed
# E (eV for the cell shown): -18.4
# Raw formation energy (eV per atom): 1.537
# Crystal system: tetragonal
data_InBiOsS2
_cell_length_a 4.835
_cell_length_b 4.835
_cell_length_c 6.036
_cell_angle_alpha 90.00
_cell_angle_beta 90.00
_cell_angle_gamma 90.00
_symmetry_space_group_name_H-M 'P 4/m m m'
_symmetry_Int_Tables_number 123
_symmetry_space_group_name_Hall '-P 4 2'
loop_
_atom_site_label
_atom_site_fract_x
_atom_site_fract_y
_atom_site_fract_z
In1 0.000 0.000 0.000
Bi1 0.000 0.000 0.500
Os1 0.500 0.500 0.500
S1 0.000 0.500 0.000



[5]
# In2Bi2P | Alexandria via LeMat-Bulk | PBE | relaxed
# E (eV for the cell shown): -34.5
# Formation energy from the elements (eV/atom): 0.276
# Crystal system: tetragonal
data_In2Bi2P
_cell_length_a 7.615
_cell_length_b 7.615
_cell_length_c 5.165
_cell_angle_alpha 90.00
_cell_angle_beta 90.00
_cell_angle_gamma 90.00
_symmetry_space_group_name_H-M 'P 4/m b m'
_symmetry_Int_Tables_number 127
_symmetry_space_group_name_Hall '-P 4 2ab'
loop_
_atom_site_label
_atom_site_fract_x
_atom_site_fract_y
_atom_site_fract_z
In1 0.166 0.334 0.000
Bi1 0.153 0.653 0.500
P1 0.000 0.000 0.500



[6]
# In12Bi3P5 | Alexandria via LeMat-Bulk | PBE | relaxed
# E (eV for the cell shown): -556.3
# Formation energy from the elements (eV/atom): 0.101
# Crystal system: cubic
data_In12Bi3P5
_cell_length_a 16.972
_cell_length_b 16.972
_cell_length_c 16.972
_cell_angle_alpha 90.00
_cell_angle_beta 90.00
_cell_angle_gamma 90.00
_symmetry_space_group_name_H-M 'I a -3 d'
_symmetry_Int_Tables_number 230
_symmetry_space_group_name_Hall '-I 4bd 2c 3'
loop_
_atom_site_label
_atom_site_fract_x
_atom_site_fract_y
_atom_site_fract_z
In1 0.025 0.064 0.650
Bi1 0.000 0.250 0.125
P1 0.000 0.000 0.000
P2 0.000 0.250 0.375



[7]
# In2BiP | Alexandria via LeMat-Bulk | PBE | relaxed
# E (eV for the cell shown): -54.0
# Formation energy from the elements (eV/atom): 0.318
# Crystal system: cubic
# Distance to the lowest polymorph of the same formula (eV/f.u.): 1.512
data_In2BiP
_cell_length_a 7.401
_cell_length_b 7.401
_cell_length_c 7.401
_cell_angle_alpha 90.00
_cell_angle_beta 90.00
_cell_angle_gamma 90.00
_symmetry_space_group_name_H-M 'F m -3 m'
_symmetry_Int_Tables_number 225
_symmetry_space_group_name_Hall '-F 4 2 3'
loop_
_atom_site_label
_atom_site_fract_x
_atom_site_fract_y
_atom_site_fract_z
In1 0.250 0.250 0.250
Bi1 0.000 0.000 0.000
P1 0.000 0.000 0.500



[8]
# InBiP | Alexandria via LeMat-Bulk | PBE | relaxed
# E (eV for the cell shown): -46.2
# Formation energy from the elements (eV/atom): 0.160
# Crystal system: orthorhombic
data_InBiP
_cell_length_a 11.988
_cell_length_b 3.918
_cell_length_c 6.784
_cell_angle_alpha 90.00
_cell_angle_beta 90.00
_cell_angle_gamma 90.00
_symmetry_space_group_name_H-M 'A m m 2'
_symmetry_Int_Tables_number 38
_symmetry_space_group_name_Hall 'A 2 -2'
loop_
_atom_site_label
_atom_site_fract_x
_atom_site_fract_y
_atom_site_fract_z
In1 0.134 0.000 0.000
Bi1 0.348 0.000 0.665
P1 0.000 0.000 0.667
P2 0.500 0.000 0.998



[9]
# InBi2P | Alexandria via LeMat-Bulk | PBE | relaxed
# E (eV for the cell shown): -58.9
# Formation energy from the elements (eV/atom): 0.298
# Crystal system: tetragonal
# Distance to the lowest polymorph of the same formula (eV/f.u.): 0.000
data_InBi2P
_cell_length_a 6.421
_cell_length_b 6.421
_cell_length_c 14.424
_cell_angle_alpha 90.00
_cell_angle_beta 90.00
_cell_angle_gamma 90.00
_symmetry_space_group_name_H-M 'I -4 2 d'
_symmetry_Int_Tables_number 122
_symmetry_space_group_name_Hall 'I -4 2bw'
loop_
_atom_site_label
_atom_site_fract_x
_atom_site_fract_y
_atom_site_fract_z
In1 0.000 0.000 0.000
Bi1 0.216 0.250 0.625
P1 0.000 0.000 0.500



[10]
# In2BiP | Alexandria via LeMat-Bulk | PBE | relaxed
# E (eV for the cell shown): -37.8
# Formation energy from the elements (eV/atom): 0.539
# Crystal system: trigonal
# Distance to the lowest polymorph of the same formula (eV/f.u.): 2.396
data_In2BiP
_cell_length_a 4.5847
_cell_length_b 4.5847
_cell_length_c 24.5027
_cell_angle_alpha 90.00
_cell_angle_beta 90.00
_cell_angle_gamma 120.00
_symmetry_space_group_name_H-M 'R -3 m'
_symmetry_Int_Tables_number 166
_symmetry_space_group_name_Hall '-R 3 2"'
loop_
_atom_site_label
_atom_site_fract_x
_atom_site_fract_y
_atom_site_fract_z
In1 0.0000 0.0000 0.1005
Bi1 0.0000 0.0000 0.5000
P1 0.0000 0.0000 0.0000



[11]
# In2BiP | Alexandria via LeMat-Bulk | PBE | relaxed
# E (eV for the cell shown): -60.0
# Formation energy from the elements (eV/atom): -0.060
# Crystal system: tetragonal
# Distance to the lowest polymorph of the same formula (eV/f.u.): 0.000
data_In2BiP
_cell_length_a 6.412
_cell_length_b 6.412
_cell_length_c 12.607
_cell_angle_alpha 90.00
_cell_angle_beta 90.00
_cell_angle_gamma 90.00
_symmetry_space_group_name_H-M 'I -4 2 d'
_symmetry_Int_Tables_number 122
_symmetry_space_group_name_Hall 'I -4 2bw'
loop_
_atom_site_label
_atom_site_fract_x
_atom_site_fract_y
_atom_site_fract_z
In1 0.206 0.250 0.125
Bi1 0.000 0.000 0.500
P1 0.000 0.000 0.000



[12]
# InBi2P2 | Alexandria via LeMat-Bulk | PBE | relaxed
# E (eV for the cell shown): -40.1
# Formation energy from the elements (eV/atom): 0.256
# Crystal system: tetragonal
# Distance to the lowest polymorph of the same formula (eV/f.u.): 0.000
data_InBi2P2
_cell_length_a 7.994
_cell_length_b 7.994
_cell_length_c 3.859
_cell_angle_alpha 90.00
_cell_angle_beta 90.00
_cell_angle_gamma 90.00
_symmetry_space_group_name_H-M 'P 4/m b m'
_symmetry_Int_Tables_number 127
_symmetry_space_group_name_Hall '-P 4 2ab'
loop_
_atom_site_label
_atom_site_fract_x
_atom_site_fract_y
_atom_site_fract_z
In1 0.000 0.000 0.000
Bi1 0.156 0.344 0.500
P1 0.160 0.660 0.000



[13]
# InBi2P | Alexandria via LeMat-Bulk | PBE | relaxed
# E (eV for the cell shown): -58.1
# Formation energy from the elements (eV/atom): 0.349
# Crystal system: cubic
# Distance to the lowest polymorph of the same formula (eV/f.u.): 0.204
data_InBi2P
_cell_length_a 7.477
_cell_length_b 7.477
_cell_length_c 7.477
_cell_angle_alpha 90.00
_cell_angle_beta 90.00
_cell_angle_gamma 90.00
_symmetry_space_group_name_H-M 'F m -3 m'
_symmetry_Int_Tables_number 225
_symmetry_space_group_name_Hall '-F 4 2 3'
loop_
_atom_site_label
_atom_site_fract_x
_atom_site_fract_y
_atom_site_fract_z
In1 0.000 0.000 0.000
Bi1 0.250 0.250 0.250
P1 0.000 0.000 0.500



[14]
# InBiP3 | Alexandria via LeMat-Bulk | PBE | relaxed
# E (eV for the cell shown): -17.9
# Formation energy from the elements (eV/atom): 0.992
# Crystal system: cubic
# Distance to the lowest polymorph of the same formula (eV/f.u.): 0.000
data_InBiP3
_cell_length_a 5.007
_cell_length_b 5.007
_cell_length_c 5.007
_cell_angle_alpha 90.00
_cell_angle_beta 90.00
_cell_angle_gamma 90.00
_symmetry_space_group_name_H-M 'P m -3 m'
_symmetry_Int_Tables_number 221
_symmetry_space_group_name_Hall '-P 4 2 3'
loop_
_atom_site_label
_atom_site_fract_x
_atom_site_fract_y
_atom_site_fract_z
In1 0.000 0.000 0.000
Bi1 0.500 0.500 0.500
P1 0.000 0.000 0.500



[15]
# InBi2P2 | Alexandria via LeMat-Bulk | PBE | relaxed
# E (eV for the cell shown): -39.9
# Formation energy from the elements (eV/atom): 0.275
# Crystal system: tetragonal
# Distance to the lowest polymorph of the same formula (eV/f.u.): 0.096
data_InBi2P2
_cell_length_a 5.268
_cell_length_b 5.268
_cell_length_c 10.630
_cell_angle_alpha 90.00
_cell_angle_beta 90.00
_cell_angle_gamma 90.00
_symmetry_space_group_name_H-M 'I 4/m m m'
_symmetry_Int_Tables_number 139
_symmetry_space_group_name_Hall '-I 4 2'
loop_
_atom_site_label
_atom_site_fract_x
_atom_site_fract_y
_atom_site_fract_z
In1 0.000 0.000 0.000
Bi1 0.000 0.000 0.344
P1 0.000 0.500 0.250



[16]
# InBiPPd2 | Alexandria via LeMat-Bulk | PBE | relaxed
# E (eV for the cell shown): -17.7
# Formation energy from the elements (eV/atom): 0.952
# Crystal system: tetragonal
data_InBiPPd2
_cell_length_a 4.921
_cell_length_b 4.921
_cell_length_c 5.734
_cell_angle_alpha 90.00
_cell_angle_beta 90.00
_cell_angle_gamma 90.00
_symmetry_space_group_name_H-M 'P 4/m m m'
_symmetry_Int_Tables_number 123
_symmetry_space_group_name_Hall '-P 4 2'
loop_
_atom_site_label
_atom_site_fract_x
_atom_site_fract_y
_atom_site_fract_z
In1 0.000 0.000 0.000
Bi1 0.000 0.000 0.500
P1 0.500 0.500 0.500
Pd1 0.000 0.500 0.000



[17]
# InBi2P2Pt7 | Alexandria via LeMat-Bulk | PBE | relaxed
# E (eV for the cell shown): -138.1
# Formation energy from the elements (eV/atom): -0.456
# Crystal system: tetragonal
data_InBi2P2Pt7
_cell_length_a 3.979
_cell_length_b 3.979
_cell_length_c 29.732
_cell_angle_alpha 90.00
_cell_angle_beta 90.00
_cell_angle_gamma 90.00
_symmetry_space_group_name_H-M 'I 4/m m m'
_symmetry_Int_Tables_number 139
_symmetry_space_group_name_Hall '-I 4 2'
loop_
_atom_site_label
_atom_site_fract_x
_atom_site_fract_y
_atom_site_fract_z
In1 0.000 0.000 0.000
Bi1 0.000 0.000 0.210
P1 0.000 0.000 0.384
Pt1 0.000 0.000 0.307
Pt2 0.000 0.000 0.500
Pt3 0.000 0.500 0.073



[18]
# InBiPS2 | Alexandria via LeMat-Bulk | PBE | relaxed
# E (eV for the cell shown): -17.8
# Raw formation energy (eV per atom): 0.505
# Crystal system: tetragonal
# Distance to the lowest polymorph of the same formula (eV/f.u.): 0.000
data_InBiPS2
_cell_length_a 5.056
_cell_length_b 5.056
_cell_length_c 5.076
_cell_angle_alpha 90.00
_cell_angle_beta 90.00
_cell_angle_gamma 90.00
_symmetry_space_group_name_H-M 'P 4/m m m'
_symmetry_Int_Tables_number 123
_symmetry_space_group_name_Hall '-P 4 2'
loop_
_atom_site_label
_atom_site_fract_x
_atom_site_fract_y
_atom_site_fract_z
In1 0.000 0.000 0.000
Bi1 0.500 0.500 0.500
P1 0.000 0.000 0.500
S1 0.000 0.500 0.000



[19]
# InBiPS2 | Alexandria via LeMat-Bulk | PBE | relaxed
# E (eV for the cell shown): -17.5
# Raw formation energy (eV per atom): 0.566
# Crystal system: tetragonal
# Distance to the lowest polymorph of the same formula (eV/f.u.): 0.302
data_InBiPS2
_cell_length_a 5.361
_cell_length_b 5.361
_cell_length_c 5.410
_cell_angle_alpha 90.00
_cell_angle_beta 90.00
_cell_angle_gamma 90.00
_symmetry_space_group_name_H-M 'P 4/m m m'
_symmetry_Int_Tables_number 123
_symmetry_space_group_name_Hall '-P 4 2'
loop_
_atom_site_label
_atom_site_fract_x
_atom_site_fract_y
_atom_site_fract_z
In1 0.000 0.000 0.000
Bi1 0.500 0.500 0.500
P1 0.500 0.500 0.000
S1 0.000 0.500 0.500



[20]
# Sr2In2Bi2P | Alexandria via LeMat-Bulk | PBE | relaxed
# E (eV for the cell shown): -25.8
# Formation energy from the elements (eV/atom): -0.543
# Crystal system: triclinic
data_Sr2In2Bi2P
_cell_length_a 4.303
_cell_length_b 6.823
_cell_length_c 8.631
_cell_angle_alpha 111.01
_cell_angle_beta 90.05
_cell_angle_gamma 108.29
_symmetry_space_group_name_H-M 'P -1'
_symmetry_Int_Tables_number 2
_symmetry_space_group_name_Hall '-P 1'
loop_
_atom_site_label
_atom_site_fract_x
_atom_site_fract_y
_atom_site_fract_z
Sr1 0.011 0.021 0.252
In1 0.282 0.563 0.893
Bi1 0.298 0.599 0.400
P1 0.500 0.000 0.000